(1)
An optimized crystal structure of Mn2RuSe, computed with PBE.

The structure in POSCAR format:
```
Mn2RuSe
1.0
-2.669 2.669 5.117
2.669 -2.669 5.117
2.669 2.669 -5.117
Mn Ru Se
4 2 2
Direct
0.118 0.625 0.993 Mn
0.375 0.368 0.493 Mn
0.632 0.125 0.007 Mn
0.875 0.882 0.507 Mn
0.000 0.000 0.000 Ru
0.750 0.250 0.500 Ru
0.250 0.750 0.500 Se
0.500 0.500 0.000 Se
```

Summary:
Space group: I-42d
Formation energy (no corrections): 2.8 eV per formula unit

(2)
An optimized crystal structure of La3Zn2Sn4, computed with PBE.

The structure in POSCAR format:
```
La3Zn2Sn4
1.0
5.999 -2.327 0.000
5.999 2.327 0.000
-3.234 0.000 8.768
La Zn Sn
3 2 4
Direct
0.000 0.000 0.000 La
0.372 0.372 0.316 La
0.628 0.628 0.684 La
0.309 0.309 0.651 Zn
0.691 0.691 0.349 Zn
0.090 0.090 0.391 Sn
0.291 0.291 0.935 Sn
0.709 0.709 0.065 Sn
0.910 0.910 0.609 Sn
```

Summary:
Space group: C2/m
Energy of formation from the pure elements: -0.623 eV/atom

(3)
An optimized crystal structure of KNbAlBr2, computed with PBE.

The structure in POSCAR format:
```
KNbAlBr2
1.0
5.495 0.000 0.000
0.000 5.495 0.000
0.000 0.000 6.482
K Nb Al Br
1 1 1 2
Direct
0.000 0.000 0.000 K
0.500 0.500 0.000 Nb
0.000 0.000 0.500 Al
0.000 0.500 0.500 Br
0.500 0.000 0.500 Br
```

Summary:
Space group: P4/mmm
Formation energy (no corrections): 3.9 eV per formula unit

(4)
An optimized crystal structure of LiEr2Sn3, computed with PBE.

The structure in POSCAR format:
```
LiEr2Sn3
1.0
-1.697 2.698 8.592
1.697 -2.698 8.592
1.697 2.698 -8.592
Li Er Sn
1 2 3
Direct
0.000 0.000 0.000 Li
0.344 0.344 0.000 Er
0.656 0.656 0.000 Er
0.163 0.163 0.000 Sn
0.500 0.000 0.500 Sn
0.837 0.837 0.000 Sn
```

Summary:
Space group: Immm
Energy of formation from the pure elements: -0.390 eV/atom

(5)
An optimized crystal structure of Sr2MnTeC, computed with PBE.

The structure in POSCAR format:
```
Sr2MnTeC
1.0
5.645 0.000 0.000
0.000 5.645 0.000
0.000 0.000 3.941
Sr Mn Te C
2 1 1 1
Direct
0.000 0.500 0.000 Sr
0.500 0.000 0.000 Sr
0.000 0.000 0.500 Mn
0.500 0.500 0.500 Te
0.000 0.000 0.000 C
```

Summary:
Space group: P4/mmm
Formation energy (no corrections): -1.9 eV per formula unit

(6)
An optimized crystal structure of CoTc2Br, computed with PBE.

The structure in POSCAR format:
```
CoTc2Br
1.0
4.546 -1.457 0.000
4.546 1.457 0.000
-0.221 0.000 4.508
Co Tc Br
1 2 1
Direct
0.000 0.000 0.000 Co
0.271 0.271 0.790 Tc
0.548 0.548 0.563 Tc
0.781 0.781 0.257 Br
```

Summary:
Space group: Cm
Formation energy (no corrections): 3.0 eV per formula unit

(7)
An optimized crystal structure of CuBi2N, computed with PBE.

The structure in POSCAR format:
```
CuBi2N
1.0
-2.920 2.920 5.533
2.920 -2.920 5.533
2.920 2.920 -5.533
Cu Bi N
2 4 2
Direct
0.000 0.000 0.000 Cu
0.750 0.250 0.500 Cu
0.162 0.625 0.037 Bi
0.375 0.412 0.537 Bi
0.588 0.125 0.963 Bi
0.875 0.838 0.463 Bi
0.250 0.750 0.500 N
0.500 0.500 0.000 N
```

Summary:
Space group: I-42d
Formation energy (no corrections): 2.4 eV per formula unit

(8)
An optimized crystal structure of DyYTlGa, computed with PBE.

The structure in POSCAR format:
```
DyYTlGa
1.0
0.000 3.698 3.698
3.698 0.000 3.698
3.698 3.698 0.000
Dy Y Tl Ga
1 1 1 1
Direct
0.000 0.000 0.000 Dy
0.500 0.500 0.500 Y
0.250 0.250 0.250 Tl
0.750 0.750 0.750 Ga
```

Summary:
Space group: F-43m
Energy of formation from the pure elements: -0.443 eV/atom

Looking at total magnetic moment for the records above, in order, we have 0.00, 0.00, 0.98, 0.00, 0.67, 0.12, 0.00, 0.00 μB per atom.